A plane-wave DFT calculation with PBEsol was carried out for KBeNi2Pd after structural relaxation.

extended XYZ file:
```
5
Lattice="4.614 0.000 0.000 0.000 4.614 0.000 0.000 0.000 5.430" Properties=species:S:1:pos:R:3 pbc="T T T"
K 0.000 0.000 0.000
Be 2.307 2.307 0.000
Ni 0.000 2.307 2.715
Ni 2.307 0.000 2.715
Pd 0.000 0.000 2.715
```

Output
Formation enthalpy at 0 K in eV/atom: 1.5431
Spin magnetization in Bohr magnetons per cell: 2.0
Uncorrected energy in eV per cell: -15.69

***

A plane-wave DFT calculation with PBEsol was carried out for MgTe3 after structural relaxation.

extended XYZ file:
```
8
Lattice="4.291 0.000 0.000 0.000 6.020 0.000 0.000 0.000 8.716" Properties=species:S:1:pos:R:3 pbc="T T T"
Mg 1.073 1.505 1.195
Mg 3.218 4.515 7.522
Te 1.073 3.055 5.549
Te 1.073 4.515 0.716
Te 1.073 5.975 5.549
Te 3.218 0.045 3.168
Te 3.218 1.505 8.000
Te 3.218 2.965 3.168
```

Output
Spin magnetization in Bohr magnetons per cell: 0.0
Energy relative to the elements, uncorrected in eV per atom: -0.17
Uncorrected energy in eV per cell: -25.98

***

A plane-wave DFT calculation with PBEsol was carried out for YBe2P after structural relaxation.

extended XYZ file:
```
4
Lattice="3.175 -1.844 0.000 3.175 1.844 0.000 -2.128 0.000 4.740" Properties=species:S:1:pos:R:3 pbc="T T T"
Y 0.000 0.000 0.000
Be -0.013 0.000 2.885
Be 4.236 0.000 1.855
P 2.111 0.000 2.370
```

Output
Formation enthalpy at 0 K in eV/atom: -0.2850
Spin magnetization in Bohr magnetons per cell: 0.0
Uncorrected energy in eV per cell: -21.75

***

A plane-wave DFT calculation with PBEsol was carried out for BePtAu2 after structural relaxation.

extended XYZ file:
```
4
Lattice="0.000 3.096 3.096 3.096 0.000 3.096 3.096 3.096 0.000" Properties=species:S:1:pos:R:3 pbc="T T T"
Be 0.000 0.000 0.000
Pt 4.644 4.644 4.644
Au 1.548 1.548 1.548
Au 3.096 3.096 3.096
```

Output
Formation enthalpy at 0 K in eV/atom: 0.0079
Spin magnetization in Bohr magnetons per cell: 0.0
Uncorrected energy in eV per cell: -18.78

***

A plane-wave DFT calculation with PBEsol was carried out for LaTcAs after structural relaxation.

extended XYZ file:
```
3
Lattice="0.000 3.299 3.299 3.299 0.000 3.299 3.299 3.299 0.000" Properties=species:S:1:pos:R:3 pbc="T T T"
La 0.000 0.000 0.000
Tc 1.650 1.650 1.650
As 4.949 4.949 4.949
```

Output
Formation enthalpy at 0 K in eV/atom: 0.8902
Spin magnetization in Bohr magnetons per cell: 0.2
ΔE to the lowest computed polymorph in meV/atom: 831.3
Uncorrected energy in eV per cell: -19.05

***

A plane-wave DFT calculation with PBEsol was carried out for K2ZrCo after structural relaxation.

extended XYZ file:
```
4
Lattice="2.934 0.000 0.000 0.000 2.934 0.000 0.000 0.000 11.912" Properties=species:S:1:pos:R:3 pbc="T T T"
K 0.000 0.000 2.509
K 0.000 0.000 9.403
Zr 1.467 1.467 5.956
Co 1.467 1.467 0.000
```

Output
Formation enthalpy at 0 K in eV/atom: 1.2124
Spin magnetization in Bohr magnetons per cell: 1.5
ΔE to the lowest computed polymorph in meV/atom: 0.0
Uncorrected energy in eV per cell: -14.24

***

A plane-wave DFT calculation with PBEsol was carried out for CoSbBr2 after structural relaxation.

extended XYZ file:
```
8
Lattice="-4.534 4.534 2.449 4.534 -4.534 2.449 4.534 4.534 -2.449" Properties=species:S:1:pos:R:3 pbc="T T T"
Co 0.000 0.000 0.000
Co 0.000 4.534 1.225
Sb 4.534 0.000 1.225
Sb 0.000 0.000 2.449
Br 0.856 2.267 0.612
Br -2.267 3.677 1.837
Br -0.856 6.800 0.612
Br 2.267 5.390 1.837
```

Output
Spin magnetization in Bohr magnetons per cell: 2.2
Energy relative to the elements, uncorrected in eV per atom: 0.10
ΔE to the lowest computed polymorph in meV/atom: 0.0
Uncorrected energy in eV per cell: -31.24

***

A plane-wave DFT calculation with PBEsol was carried out for HfCrAs2Pt after structural relaxation.

extended XYZ file:
```
5
Lattice="4.920 0.000 0.000 0.000 4.920 0.000 0.000 0.000 4.667" Properties=species:S:1:pos:R:3 pbc="T T T"
Hf 0.000 0.000 0.000
Cr 0.000 0.000 2.333
As 0.000 2.460 0.000
As 2.460 0.000 0.000
Pt 2.460 2.460 2.333
```

Output
Formation enthalpy at 0 K in eV/atom: 1.2291
Spin magnetization in Bohr magnetons per cell: 3.1
Uncorrected energy in eV per cell: -31.78

***

A plane-wave DFT calculation with PBEsol was carried out for Cd2AgAu after structural relaxation.

extended XYZ file:
```
4
Lattice="1.493 0.862 9.390 -1.493 0.862 9.390 0.000 -1.724 9.390" Properties=species:S:1:pos:R:3 pbc="T T T"
Cd 0.000 0.000 7.051
Cd 0.000 0.000 21.119
Ag 0.000 0.000 0.000
Au 0.000 0.000 14.085
```

Output
Formation enthalpy at 0 K in eV/atom: -0.0757
Spin magnetization in Bohr magnetons per cell: 0.0
ΔE to the lowest computed polymorph in meV/atom: 67.0
Uncorrected energy in eV per cell: -9.93

***

A plane-wave DFT calculation with PBEsol was carried out for InTcRu3 after structural relaxation.

extended XYZ file:
```
5
Lattice="4.560 0.000 0.000 0.000 4.560 0.000 0.000 0.000 4.560" Properties=species:S:1:pos:R:3 pbc="T T T"
In 0.000 0.000 0.000
Tc 2.280 2.280 2.280
Ru 0.000 2.280 2.280
Ru 2.280 0.000 2.280
Ru 2.280 2.280 0.000
```

Output
Formation enthalpy at 0 K in eV/atom: 1.4765
Spin magnetization in Bohr magnetons per cell: 0.0
Uncorrected energy in eV per cell: -37.38

***

A plane-wave DFT calculation with PBEsol was carried out for KLi2Au after structural relaxation.

extended XYZ file:
```
4
Lattice="2.254 1.301 6.047 -2.254 1.301 6.047 0.000 -2.603 6.047" Properties=species:S:1:pos:R:3 pbc="T T T"
K 0.000 0.000 0.000
Li 0.000 0.000 3.432
Li 0.000 0.000 8.555
Au 0.000 0.000 14.705
```

Output
Formation enthalpy at 0 K in eV/atom: -0.1921
Spin magnetization in Bohr magnetons per cell: 0.0
Uncorrected energy in eV per cell: -9.76

***

A plane-wave DFT calculation with PBEsol was carried out for BaSr2Ag after structural relaxation.

extended XYZ file:
```
4
Lattice="3.973 0.000 0.000 0.000 3.973 0.000 0.000 0.000 10.295" Properties=species:S:1:pos:R:3 pbc="T T T"
Ba 0.000 0.000 0.000
Sr 1.987 1.987 3.322
Sr 1.987 1.987 6.974
Ag 0.000 0.000 5.148
```

Output
Formation enthalpy at 0 K in eV/atom: -0.1007
Spin magnetization in Bohr magnetons per cell: 0.0
ΔE to the lowest computed polymorph in meV/atom: 1.7
Uncorrected energy in eV per cell: -9.54

***

A plane-wave DFT calculation with PBEsol was carried out for MnRe2Sb after structural relaxation.

extended XYZ file:
```
4
Lattice="-1.970 1.970 3.885 1.970 -1.970 3.885 1.970 1.970 -3.885" Properties=species:S:1:pos:R:3 pbc="T T T"
Mn 0.000 0.000 0.000
Re 0.000 0.000 3.885
Re 0.000 1.970 1.942
Sb 1.970 0.000 1.942
```

Output
Spin magnetization in Bohr magnetons per cell: 2.6
Energy relative to the elements, uncorrected in eV per atom: 0.44
Uncorrected energy in eV per cell: -39.21

***

A plane-wave DFT calculation with PBEsol was carried out for NbCrAgIr2 after structural relaxation.

extended XYZ file:
```
5
Lattice="4.750 0.000 0.000 0.000 4.750 0.000 0.000 0.000 4.648" Properties=species:S:1:pos:R:3 pbc="T T T"
Nb 0.000 0.000 0.000
Cr 2.375 2.375 0.000
Ag 0.000 0.000 2.324
Ir 0.000 2.375 2.324
Ir 2.375 0.000 2.324
```

Output
Formation enthalpy at 0 K in eV/atom: 2.3089
Spin magnetization in Bohr magnetons per cell: 4.0
Uncorrected energy in eV per cell: -32.48

***

A plane-wave DFT calculation with PBEsol was carried out for Dy2TeO6 after structural relaxation.

extended XYZ file:
```
18
Lattice="4.939 0.000 0.000 0.000 4.939 0.000 0.000 0.000 10.000" Properties=species:S:1:pos:R:3 pbc="T T T"
Dy 0.000 0.000 1.655
Dy 0.000 0.000 8.345
Dy 2.470 2.470 3.345
Dy 2.470 2.470 6.655
Te 0.000 0.000 5.000
Te 2.470 2.470 0.000
O 0.906 0.906 3.540
O 0.906 0.906 6.460
O 1.094 1.094 0.000
O 1.376 3.563 5.000
O 1.563 3.376 1.460
O 1.563 3.376 8.540
O 3.376 1.563 1.460
O 3.376 1.563 8.540
O 3.563 1.376 5.000
O 3.845 3.845 0.000
O 4.033 4.033 3.540
O 4.033 4.033 6.460
```

Output
Spin magnetization in Bohr magnetons per cell: 0.0
Energy relative to the elements, uncorrected in eV per atom: -2.54
ΔE to the lowest computed polymorph in meV/atom: 79.3
Uncorrected energy in eV per cell: -135.60

***

A plane-wave DFT calculation with PBEsol was carried out for ZrZn2PRh after structural relaxation.

extended XYZ file:
```
5
Lattice="4.296 0.000 0.000 0.000 4.296 0.000 0.000 0.000 4.870" Properties=species:S:1:pos:R:3 pbc="T T T"
Zr 0.000 0.000 0.000
Zn 0.000 2.148 2.435
Zn 2.148 0.000 2.435
P 0.000 0.000 2.435
Rh 2.148 2.148 0.000
```

Output
Formation enthalpy at 0 K in eV/atom: 0.2853
Spin magnetization in Bohr magnetons per cell: 0.0
Uncorrected energy in eV per cell: -24.76

***

A plane-wave DFT calculation with PBEsol was carried out for RbBrF2 after structural relaxation.

extended XYZ file:
```
4
Lattice="2.263 1.307 6.014 -2.263 1.307 6.014 0.000 -2.613 6.014" Properties=species:S:1:pos:R:3 pbc="T T T"
Rb 0.000 0.000 0.000
Br 0.000 0.000 9.021
F 0.000 0.000 7.043
F 0.000 0.000 10.999
```

Output
Spin magnetization in Bohr magnetons per cell: 0.0
Energy relative to the elements, uncorrected in eV per atom: -1.78
Uncorrected energy in eV per cell: -13.86

***

A plane-wave DFT calculation with PBEsol was carried out for SiTeRh2 after structural relaxation.

extended XYZ file:
```
4
Lattice="1.649 0.952 7.476 -1.649 0.952 7.476 0.000 -1.904 7.476" Properties=species:S:1:pos:R:3 pbc="T T T"
Si 0.000 0.000 0.000
Te 0.000 0.000 5.077
Rh 0.000 0.000 10.896
Rh 0.000 0.000 16.215
```

Output
Spin magnetization in Bohr magnetons per cell: 0.0
Energy relative to the elements, uncorrected in eV per atom: 0.00
ΔE to the lowest computed polymorph in meV/atom: 393.3
Uncorrected energy in eV per cell: -25.55

***

A plane-wave DFT calculation with PBEsol was carried out for Zr3Sb7Pd after structural relaxation.

extended XYZ file:
```
44
Lattice="17.597 0.000 0.000 0.000 3.927 0.000 0.000 0.000 14.438" Properties=species:S:1:pos:R:3 pbc="T T T"
Zr 1.900 0.982 1.286
Zr 2.300 0.982 7.658
Zr 2.692 0.982 11.699
Zr 6.107 2.946 4.480
Zr 6.498 2.946 0.439
Zr 6.899 2.946 8.505
Zr 10.698 0.982 5.933
Zr 11.099 0.982 13.999
Zr 11.490 0.982 9.958
Zr 14.906 2.946 2.739
Zr 15.297 2.946 6.780
Zr 15.698 2.946 13.152
Sb 0.331 2.946 2.816
Sb 0.634 2.946 6.190
Sb 1.258 2.946 13.573
Sb 1.632 2.946 9.756
Sb 3.797 0.982 4.609
Sb 4.009 2.946 2.140
Sb 4.378 2.946 6.942
Sb 4.421 0.982 14.161
Sb 4.789 0.982 9.358
Sb 5.002 2.946 11.828
Sb 7.167 0.982 2.537
Sb 7.541 0.982 6.354
Sb 8.165 0.982 13.409
Sb 8.468 0.982 10.035
Sb 9.129 2.946 4.403
Sb 9.432 2.946 1.029
Sb 10.057 2.946 8.084
Sb 10.431 2.946 11.901
Sb 12.595 0.982 2.610
Sb 12.808 2.946 5.079
Sb 13.177 2.946 0.276
Sb 13.220 0.982 7.495
Sb 13.588 0.982 12.298
Sb 13.801 2.946 9.829
Sb 15.965 0.982 4.682
Sb 16.340 0.982 0.865
Sb 16.964 0.982 8.248
Sb 17.267 0.982 11.622
Pd 1.161 0.982 4.467
Pd 7.638 2.946 11.685
Pd 9.960 0.982 2.752
Pd 16.436 2.946 9.971
```

Output
Spin magnetization in Bohr magnetons per cell: 0.0
Energy relative to the elements, uncorrected in eV per atom: -0.62
Uncorrected energy in eV per cell: -287.67

***

A plane-wave DFT calculation with PBEsol was carried out for DyCuW2O8 after structural relaxation.

extended XYZ file:
```
12
Lattice="4.998 0.000 0.000 -2.397 5.496 0.000 -0.182 -2.254 5.566" Properties=species:S:1:pos:R:3 pbc="T T T"
Dy 0.000 0.000 0.000
Cu 2.408 -1.127 2.783
W -0.054 1.137 3.732
W 2.473 2.105 1.834
O -0.725 -0.395 4.368
O -1.631 2.305 3.728
O 1.498 0.446 2.918
O 1.799 1.295 0.379
O 0.620 1.947 5.186
O 0.921 2.796 2.648
O 4.051 0.937 1.838
O 3.144 3.637 1.198
```

Output
Spin magnetization in Bohr magnetons per cell: 0.0
Energy relative to the elements, uncorrected in eV per atom: -2.24
Uncorrected energy in eV per cell: -105.83